A plane-wave DFT calculation with PBE-GGA was carried out for a relaxed structure of AlRh.

calculated volume	20.6	Å³ per atom
symmetry	F-43m
total energy	-5.403	eV per atom

```
data_AlRh
_space_group_name_H-M_alt 'P 1'
_space_group_IT_number 1
_space_group_name_Hall 'P 1'
_cell_length_a 3.877
_cell_length_b 3.877
_cell_length_c 3.877
_cell_angle_alpha 60.00
_cell_angle_beta 60.00
_cell_angle_gamma 60.00
loop_
_atom_site_label
_atom_site_type_symbol
_atom_site_fract_x
_atom_site_fract_y
_atom_site_fract_z
Al1 Al 0.000 0.000 0.000
Rh1 Rh 0.750 0.750 0.750
```



A plane-wave DFT calculation with PBE-GGA was carried out for a relaxed structure of RbZr3F.

calculated volume	27.1	Å³ per atom
formation energy without anion corrections	10.18	eV/f.u.
symmetry	Pm-3m
total energy	-3.660	eV per atom
distance to the lowest polymorph of the same formula	1795	meV/atom

```
data_RbZr3F
_space_group_name_H-M_alt 'P 1'
_space_group_IT_number 1
_space_group_name_Hall 'P 1'
_cell_length_a 5.136
_cell_length_b 5.136
_cell_length_c 5.136
_cell_angle_alpha 90.00
_cell_angle_beta 90.00
_cell_angle_gamma 90.00
loop_
_atom_site_label
_atom_site_type_symbol
_atom_site_fract_x
_atom_site_fract_y
_atom_site_fract_z
Rb1 Rb 0.000 0.000 0.000
Zr1 Zr 0.000 0.000 0.500
Zr2 Zr 0.000 0.500 0.000
Zr3 Zr 0.500 0.000 0.000
F1 F 0.500 0.500 0.500
```



A plane-wave DFT calculation with PBE-GGA was carried out for a relaxed structure of RuRhPbO6.

calculated volume	14.2	Å³ per atom
formation energy without anion corrections	-6.58	eV/f.u.
symmetry	Imma
total energy	-6.296	eV per atom

```
data_RuRhPbO6
_space_group_name_H-M_alt 'P 1'
_space_group_IT_number 1
_space_group_name_Hall 'P 1'
_cell_length_a 7.144
_cell_length_b 7.144
_cell_length_c 7.144
_cell_angle_alpha 121.44
_cell_angle_beta 119.40
_cell_angle_gamma 89.28
loop_
_atom_site_label
_atom_site_type_symbol
_atom_site_fract_x
_atom_site_fract_y
_atom_site_fract_z
Ru1 Ru 0.000 0.000 0.000
Ru2 Ru 0.500 0.000 0.500
Rh1 Rh 0.500 0.000 0.000
Rh2 Rh 0.500 0.500 0.500
Pb1 Pb 0.185 0.435 0.750
Pb2 Pb 0.815 0.565 0.250
O1 O 0.169 0.326 0.247
O2 O 0.169 0.921 0.842
O3 O 0.198 0.948 0.250
O4 O 0.414 0.664 0.750
O5 O 0.421 0.079 0.747
O6 O 0.421 0.674 0.342
O7 O 0.579 0.326 0.658
O8 O 0.579 0.921 0.253
O9 O 0.586 0.336 0.250
O10 O 0.802 0.052 0.750
O11 O 0.831 0.079 0.158
O12 O 0.831 0.674 0.753
```



A plane-wave DFT calculation with PBE-GGA was carried out for a relaxed structure of K4H5Pd.

calculated volume	19.6	Å³ per atom
symmetry	I4
total energy	-2.750	eV per atom

```
data_K4H5Pd
_space_group_name_H-M_alt 'P 1'
_space_group_IT_number 1
_space_group_name_Hall 'P 1'
_cell_length_a 6.514
_cell_length_b 6.514
_cell_length_c 6.514
_cell_angle_alpha 101.25
_cell_angle_beta 101.25
_cell_angle_gamma 127.59
loop_
_atom_site_label
_atom_site_type_symbol
_atom_site_fract_x
_atom_site_fract_y
_atom_site_fract_z
K1 K 0.117 0.724 0.842
K2 K 0.276 0.117 0.393
K3 K 0.724 0.883 0.607
K4 K 0.883 0.276 0.158
H1 H 0.162 0.162 0.000
H2 H 0.318 0.470 0.747
H3 H 0.470 0.723 0.152
H4 H 0.571 0.318 0.848
H5 H 0.723 0.571 0.253
Pd1 Pd 0.481 0.481 0.000
```



A plane-wave DFT calculation with PBE-GGA was carried out for a relaxed structure of LaFePb2C.

calculated volume	24.8	Å³ per atom
symmetry	P4/mmm
total energy	-5.229	eV per atom

```
data_LaFePb2C
_space_group_name_H-M_alt 'P 1'
_space_group_IT_number 1
_space_group_name_Hall 'P 1'
_cell_length_a 5.012
_cell_length_b 5.012
_cell_length_c 4.930
_cell_angle_alpha 90.00
_cell_angle_beta 90.00
_cell_angle_gamma 90.00
loop_
_atom_site_label
_atom_site_type_symbol
_atom_site_fract_x
_atom_site_fract_y
_atom_site_fract_z
La1 La 0.000 0.000 0.000
Fe1 Fe 0.500 0.500 0.000
Pb1 Pb 0.000 0.500 0.500
Pb2 Pb 0.500 0.000 0.500
C1 C 0.000 0.000 0.500
```



A plane-wave DFT calculation with PBE-GGA was carried out for a relaxed structure of RbIn3Cu.

calculated volume	53.3	Å³ per atom
symmetry	Pm-3m
total energy	-1.328	eV per atom
distance to the lowest polymorph of the same formula	1274	meV/atom

```
data_RbIn3Cu
_space_group_name_H-M_alt 'P 1'
_space_group_IT_number 1
_space_group_name_Hall 'P 1'
_cell_length_a 6.436
_cell_length_b 6.436
_cell_length_c 6.436
_cell_angle_alpha 90.00
_cell_angle_beta 90.00
_cell_angle_gamma 90.00
loop_
_atom_site_label
_atom_site_type_symbol
_atom_site_fract_x
_atom_site_fract_y
_atom_site_fract_z
Rb1 Rb 0.000 0.000 0.000
In1 In 0.000 0.000 0.500
In2 In 0.000 0.500 0.000
In3 In 0.500 0.000 0.000
Cu1 Cu 0.500 0.500 0.500
```



A plane-wave DFT calculation with PBE-GGA was carried out for a relaxed structure of HoPu2Ga9.

calculated volume	19.6	Å³ per atom
symmetry	R-3m
total energy	-5.334	eV per atom
distance to the lowest polymorph of the same formula	133	meV/atom

```
data_HoPu2Ga9
_space_group_name_H-M_alt 'P 1'
_space_group_IT_number 1
_space_group_name_Hall 'P 1'
_cell_length_a 9.587
_cell_length_b 9.587
_cell_length_c 9.587
_cell_angle_alpha 33.23
_cell_angle_beta 33.23
_cell_angle_gamma 33.23
loop_
_atom_site_label
_atom_site_type_symbol
_atom_site_fract_x
_atom_site_fract_y
_atom_site_fract_z
Ho1 Ho 0.000 0.000 0.000
Pu1 Pu 0.142 0.142 0.142
Pu2 Pu 0.858 0.858 0.858
Ga1 Ga 0.078 0.587 0.587
Ga2 Ga 0.335 0.335 0.335
Ga3 Ga 0.413 0.413 0.922
Ga4 Ga 0.413 0.922 0.413
Ga5 Ga 0.500 0.500 0.500
Ga6 Ga 0.587 0.078 0.587
Ga7 Ga 0.587 0.587 0.078
Ga8 Ga 0.665 0.665 0.665
Ga9 Ga 0.922 0.413 0.413
```



A plane-wave DFT calculation with PBE-GGA was carried out for a relaxed structure of Cu2BiO.

calculated volume	17.3	Å³ per atom
formation energy without anion corrections	-0.64	eV/f.u.
symmetry	I-42d
total energy	-4.419	eV per atom
distance to the lowest polymorph of the same formula	0	meV/atom

```
data_Cu2BiO
_space_group_name_H-M_alt 'P 1'
_space_group_IT_number 1
_space_group_name_Hall 'P 1'
_cell_length_a 5.762
_cell_length_b 5.762
_cell_length_c 5.762
_cell_angle_alpha 118.34
_cell_angle_beta 118.34
_cell_angle_gamma 92.90
loop_
_atom_site_label
_atom_site_type_symbol
_atom_site_fract_x
_atom_site_fract_y
_atom_site_fract_z
Cu1 Cu 0.375 0.248 0.373
Cu2 Cu 0.752 0.125 0.127
Cu3 Cu 0.875 0.002 0.627
Cu4 Cu 0.998 0.625 0.873
Bi1 Bi 0.250 0.750 0.500
Bi2 Bi 0.500 0.500 0.000
O1 O 0.000 0.000 0.000
O2 O 0.750 0.250 0.500
```



Repeat the third record exactly.
A plane-wave DFT calculation with PBE-GGA was carried out for a relaxed structure of RuRhPbO6.

calculated volume	14.2	Å³ per atom
formation energy without anion corrections	-6.58	eV/f.u.
symmetry	Imma
total energy	-6.296	eV per atom

```
data_RuRhPbO6
_space_group_name_H-M_alt 'P 1'
_space_group_IT_number 1
_space_group_name_Hall 'P 1'
_cell_length_a 7.144
_cell_length_b 7.144
_cell_length_c 7.144
_cell_angle_alpha 121.44
_cell_angle_beta 119.40
_cell_angle_gamma 89.28
loop_
_atom_site_label
_atom_site_type_symbol
_atom_site_fract_x
_atom_site_fract_y
_atom_site_fract_z
Ru1 Ru 0.000 0.000 0.000
Ru2 Ru 0.500 0.000 0.500
Rh1 Rh 0.500 0.000 0.000
Rh2 Rh 0.500 0.500 0.500
Pb1 Pb 0.185 0.435 0.750
Pb2 Pb 0.815 0.565 0.250
O1 O 0.169 0.326 0.247
O2 O 0.169 0.921 0.842
O3 O 0.198 0.948 0.250
O4 O 0.414 0.664 0.750
O5 O 0.421 0.079 0.747
O6 O 0.421 0.674 0.342
O7 O 0.579 0.326 0.658
O8 O 0.579 0.921 0.253
O9 O 0.586 0.336 0.250
O10 O 0.802 0.052 0.750
O11 O 0.831 0.079 0.158
O12 O 0.831 0.674 0.753
```



What did the first record say?
A plane-wave DFT calculation with PBE-GGA was carried out for a relaxed structure of AlRh.

calculated volume	20.6	Å³ per atom
symmetry	F-43m
total energy	-5.403	eV per atom

```
data_AlRh
_space_group_name_H-M_alt 'P 1'
_space_group_IT_number 1
_space_group_name_Hall 'P 1'
_cell_length_a 3.877
_cell_length_b 3.877
_cell_length_c 3.877
_cell_angle_alpha 60.00
_cell_angle_beta 60.00
_cell_angle_gamma 60.00
loop_
_atom_site_label
_atom_site_type_symbol
_atom_site_fract_x
_atom_site_fract_y
_atom_site_fract_z
Al1 Al 0.000 0.000 0.000
Rh1 Rh 0.750 0.750 0.750
```



> Which formula does entry 1 have?

AlRh



> Among the records above, which one has the highest calculated volume?

RbIn3Cu